## CaAlPt (PBE)

Data for a geometry-optimized CaAlPt structure.

Results
DFT total energy ... -14.046 eV per cell
Magnetic moment ... 0.000 μB/atom

CIF file:
```
data_CaAlPt
_space_group_name_H-M_alt 'P 1'
_space_group_IT_number 1
_space_group_name_Hall 'P 1'
_cell_length_a 3.3539
_cell_length_b 3.3672
_cell_length_c 5.9062
_cell_angle_alpha 73.47
_cell_angle_beta 73.54
_cell_angle_gamma 89.91
loop_
_atom_site_label
_atom_site_type_symbol
_atom_site_fract_x
_atom_site_fract_y
_atom_site_fract_z
Ca1 Ca 0.0000 0.0000 0.0000
Al1 Al 0.2890 0.2887 0.4235
Pt1 Pt 0.6948 0.6945 0.6135
```

=====

## VFe2Pd (PBE)

Data for a geometry-optimized VFe2Pd structure.

Results
DFT total energy ... -31.677 eV per cell
Magnetic moment ... 0.685 μB/atom

CIF file:
```
data_VFe2Pd
_space_group_name_H-M_alt 'P 4/m m m'
_space_group_IT_number 123
_space_group_name_Hall '-P 4 2'
_cell_length_a 3.7460
_cell_length_b 3.7460
_cell_length_c 3.6890
_cell_angle_alpha 90.00
_cell_angle_beta 90.00
_cell_angle_gamma 90.00
loop_
_atom_site_label
_atom_site_type_symbol
_atom_site_fract_x
_atom_site_fract_y
_atom_site_fract_z
V1 V 0.0000 0.0000 0.0000
Fe1 Fe 0.0000 0.5000 0.5000
Pd1 Pd 0.5000 0.5000 0.0000
```

=====

## LaZrSc2 (PBE)

Data for a geometry-optimized LaZrSc2 structure.

Results
DFT total energy ... -77.431 eV per cell
Magnetic moment ... 0.000 μB/atom
Excess energy over the best structure of this formula in the dataset ... 30 meV per atom

CIF file:
```
data_LaZrSc2
_space_group_name_H-M_alt 'R -3 m'
_space_group_IT_number 166
_space_group_name_Hall '-R 3 2"'
_cell_length_a 3.3485
_cell_length_b 3.3485
_cell_length_c 32.6684
_cell_angle_alpha 90.00
_cell_angle_beta 90.00
_cell_angle_gamma 120.00
loop_
_atom_site_label
_atom_site_type_symbol
_atom_site_fract_x
_atom_site_fract_y
_atom_site_fract_z
La1 La 0.0000 0.0000 0.0000
Zr1 Zr 0.0000 0.0000 0.5000
Sc1 Sc 0.0000 0.0000 0.2437
```

=====

no.,energy relative to the elements (eV/atom)
1,-0.75
2,-0.11
3,0.08